No. 1
CuSiHg2 | meta-GGA SCAN | PBEsol geometry

a b c (Å): 2.8990 4.6039 5.6502
angles (deg): 90.00 101.99 90.00
Last column: nearest neighbours and their distance in Å.
Positions (direct):
Si: 0.0000 0.5000 0.5000  4 Hg 2.73, 2 Cu 2.83, 2 Si 2.90
Cu: 0.0000 0.5000 0.0000  4 Hg 2.72, 2 Si 2.83, 2 Cu 2.90
Hg: 0.1272 0.0000 0.7657  2 Cu 2.72, 2 Si 2.73, 4 Hg 2.89-2.94
Hg: 0.8728 0.0000 0.2343  2 Cu 2.72, 2 Si 2.73, 4 Hg 2.89-2.94

Calculated values
The formation energy (no corrections) comes out at 0.46 eV/atom.

No. 2
AlZnTe | meta-GGA SCAN | PBEsol geometry

a b c (Å): 4.6565 4.6565 4.6565
angles (deg): 60.00 60.00 60.00
Last column: nearest neighbours and their distance in Å.
Positions (direct):
Al: 0.2500 0.2500 0.2500  4 Zn 2.85, 4 Te 2.85
Zn: 0.5000 0.5000 0.5000  4 Al 2.85
Te: 0.0000 0.0000 0.0000  4 Al 2.85

Calculated values
The formation energy (no corrections) comes out at 0.25 eV/atom.

No. 3
NaMoAsO6 | meta-GGA SCAN | PBEsol geometry

a b c (Å): 6.5601 7.5709 10.1133
angles (deg): 90.00 90.00 90.00
Last column: nearest neighbours and their distance in Å.
Positions (direct):
O: 0.2547 0.0835 0.7999  1 As 1.70
O: 0.7587 0.2560 0.8466  1 Mo 1.72
O: 0.4655 0.3454 0.6632  1 As 1.72
O: 0.7486 0.4134 0.4806  1 As 1.69
O: 0.7767 0.0949 0.6109  1 Mo 1.71
O: 0.9437 0.8546 0.8320  1 As 1.73
O: 0.4437 0.6454 0.1680  1 As 1.73
O: 0.5563 0.1454 0.3320  1 As 1.73
O: 0.7547 0.4165 0.2001  1 As 1.70
O: 0.7413 0.7440 0.3466  1 Mo 1.72
O: 0.0563 0.3546 0.6680  1 As 1.73
O: 0.2587 0.2440 0.1534  1 Mo 1.72
O: 0.7453 0.5835 0.7001  1 As 1.70
O: 0.2767 0.4051 0.3891  1 Mo 1.71
O: 0.2233 0.5949 0.8891  1 Mo 1.71
O: 0.2453 0.9165 0.2999  1 As 1.70
O: 0.5345 0.8454 0.8368  1 As 1.72
O: 0.2486 0.0866 0.5194  1 As 1.69
O: 0.2514 0.9134 0.0194  1 As 1.69
O: 0.2413 0.7560 0.6534  1 Mo 1.72
O: 0.7233 0.9051 0.1109  1 Mo 1.71
O: 0.9655 0.1546 0.3368  1 As 1.72
O: 0.7514 0.5866 0.9806  1 As 1.69
O: 0.0345 0.6546 0.1632  1 As 1.72
Mo: 0.2664 0.1999 0.3197  2 O 1.71-1.72
Mo: 0.7336 0.6999 0.1803  2 O 1.71-1.72
Mo: 0.7664 0.3001 0.6803  2 O 1.71-1.72
Mo: 0.2336 0.8001 0.8197  2 O 1.71-1.72
Na: 0.4845 0.6165 0.5165  6 O 2.34-2.59
Na: 0.0155 0.3835 0.0165  6 O 2.34-2.59
Na: 0.5155 0.1165 0.9835  6 O 2.34-2.59
Na: 0.9845 0.8835 0.4835  6 O 2.34-2.59
As: 0.2582 0.2074 0.6596  4 O 1.69-1.73
As: 0.2418 0.7926 0.1596  4 O 1.69-1.73
As: 0.7582 0.2926 0.3404  4 O 1.69-1.73
As: 0.7418 0.7074 0.8404  4 O 1.69-1.73

Calculated values
The formation energy (no corrections) comes out at -1.84 eV/atom.

No. 4
ScFe2Ni | meta-GGA SCAN | PBEsol geometry

a b c (Å): 2.6242 4.6785 4.8588
angles (deg): 115.99 101.12 99.23
Last column: nearest neighbours and their distance in Å.
Positions (direct):
Ni: 0.5000 0.0000 0.0000  2 Sc 2.49, 4 Fe 2.53, 2 Ni 2.62
Fe: 0.0000 0.0000 0.5000  4 Fe 2.49-2.62, 2 Sc 2.53, 2 Ni 2.53
Fe: 0.5000 0.5000 0.5000  4 Fe 2.49-2.62, 2 Ni 2.53, 2 Sc 2.53
Sc: 0.0000 0.5000 0.0000  2 Ni 2.49, 4 Fe 2.53, 2 Sc 2.62

Calculated values
As for the formation enthalpy at 0 K: 0.061 eV per atom.

No. 5
LaYSc2 | meta-GGA SCAN | PBEsol geometry

a b c (Å): 3.4299 5.7511 5.8613
angles (deg): 109.27 90.00 90.00
Last column: nearest neighbours and their distance in Å.
Positions (direct):
Y: 0.5000 0.5000 0.0000  6 Sc 3.35-3.36, 4 La 3.40, 2 Y 3.43
Sc: 0.0000 0.0000 0.0000  4 Y 3.35, 2 La 3.36, 6 Sc 3.40-3.43
Sc: 0.5000 0.0000 0.5000  4 La 3.35, 2 Y 3.36, 6 Sc 3.40-3.43
La: 0.0000 0.5000 0.5000  6 Sc 3.35-3.36, 4 Y 3.40, 2 La 3.43

Calculated values
As for the formation enthalpy at 0 K: 0.093 eV per atom. Its energy relative to the lowest polymorph listed for this composition is 0.024 eV per atom.

No. 6
YTaOF2 | meta-GGA SCAN | PBEsol geometry

a b c (Å): 3.9606 4.3132 4.3132
angles (deg): 90.00 90.00 90.00
Last column: nearest neighbours and their distance in Å.
Positions (direct):
Y: 0.5000 0.5000 0.5000  8 F 2.93, 4 O 3.05
F: 0.0000 0.0000 0.5000  2 Ta 2.16
F: 0.0000 0.5000 0.0000  2 Ta 2.16
Ta: 0.0000 0.0000 0.0000  2 O 1.98, 4 F 2.16
O: 0.5000 0.0000 0.0000  2 Ta 1.98

Calculated values
Its energy relative to the lowest polymorph listed for this composition is 0.000 eV per atom. The formation energy (no corrections) comes out at -1.79 eV/atom.

No. 7
Li2CdP2 | meta-GGA SCAN | PBEsol geometry

a b c (Å): 4.0480 6.5013 6.5013
angles (deg): 90.00 90.00 90.00
Last column: nearest neighbours and their distance in Å.
Positions (direct):
Li: 0.5000 0.3301 0.1699  6 P 2.78-2.80
Li: 0.5000 0.1699 0.6699  6 P 2.78-2.80
Li: 0.5000 0.8301 0.3301  6 P 2.78-2.80
Li: 0.5000 0.6699 0.8301  6 P 2.78-2.80
P: 0.0000 0.1195 0.3805  1 P 2.20
P: 0.0000 0.8805 0.6195  1 P 2.20
P: 0.0000 0.3805 0.8805  1 P 2.20
P: 0.0000 0.6195 0.1195  1 P 2.20
Cd: 0.0000 0.5000 0.5000  4 P 2.59
Cd: 0.0000 0.0000 0.0000  4 P 2.59

Calculated values
As for the formation enthalpy at 0 K: -0.383 eV per atom.

No. 8
Ca3Mg2Zn7 | meta-GGA SCAN | PBEsol geometry

a b c (Å): 5.5526 5.5526 9.2694
angles (deg): 72.57 72.57 60.00
Last column: nearest neighbours and their distance in Å.
Positions (direct):
Mg: 0.3338 0.3338 0.9985  6 Zn 2.76-2.77
Mg: 0.6662 0.6662 0.0015  6 Zn 2.76-2.77
Ca: 0.8593 0.8593 0.4221  12 Zn 3.12-3.28, 3 Ca 3.48
Ca: 0.0000 0.0000 0.0000  6 Mg 3.21, 12 Zn 3.58
Ca: 0.1407 0.1407 0.5779  12 Zn 3.12-3.28, 3 Ca 3.48
Zn: 0.5000 0.5000 0.5000  6 Zn 2.65
Zn: 0.5893 0.5893 0.7408  5 Zn 2.65-2.82, 2 Mg 2.76-2.77
Zn: 0.9194 0.4107 0.2592  5 Zn 2.65-2.82, 2 Mg 2.76-2.77
Zn: 0.4107 0.4107 0.2592  5 Zn 2.65-2.82, 2 Mg 2.76-2.77
Zn: 0.5893 0.0806 0.7408  5 Zn 2.65-2.82, 2 Mg 2.76-2.77
Zn: 0.0806 0.5893 0.7408  5 Zn 2.65-2.82, 2 Mg 2.76-2.77
Zn: 0.4107 0.9194 0.2592  5 Zn 2.65-2.82, 2 Mg 2.76-2.77

Calculated values
As for the formation enthalpy at 0 K: -0.280 eV per atom.

No. 9
CdFe2BAu | meta-GGA SCAN | PBEsol geometry

a b c (Å): 4.7421 4.7421 4.9404
angles (deg): 90.00 90.00 90.00
Last column: nearest neighbours and their distance in Å.
Positions (direct):
Fe: 0.0000 0.5000 0.0000  2 Cd 2.37
Fe: 0.5000 0.0000 0.0000  2 Cd 2.37
Au: 0.0000 0.0000 0.5000  2 Cd 2.47
Cd: 0.0000 0.0000 0.0000  4 Fe 2.37, 2 Au 2.47
B: 0.5000 0.5000 0.5000  4 Au 3.35, 8 Fe 3.42

Calculated values
As for the formation enthalpy at 0 K: 2.147 eV per atom.

No. 10
CsCd3Ni | meta-GGA SCAN | PBEsol geometry

a b c (Å): 5.1224 5.1224 5.1224
angles (deg): 90.00 90.00 90.00
Last column: nearest neighbours and their distance in Å.
Positions (direct):
Cd: 0.0000 0.5000 0.0000  2 Ni 2.56
Cd: 0.0000 0.0000 0.5000  2 Ni 2.56
Cd: 0.5000 0.0000 0.0000  2 Ni 2.56
Ni: 0.0000 0.0000 0.0000  6 Cd 2.56
Cs: 0.5000 0.5000 0.5000  12 Cd 3.62

Calculated values
As for the formation enthalpy at 0 K: 0.040 eV per atom.

No. 11
BPt3Br | meta-GGA SCAN | PBEsol geometry

a b c (Å): 4.2339 4.2339 4.2339
angles (deg): 90.00 90.00 90.00
Last column: nearest neighbours and their distance in Å.
Positions (direct):
B: 0.0000 0.0000 0.0000  6 Pt 2.12
Br: 0.5000 0.5000 0.5000  12 Pt 2.99
Pt: 0.0000 0.5000 0.0000  2 B 2.12
Pt: 0.5000 0.0000 0.0000  2 B 2.12
Pt: 0.0000 0.0000 0.5000  2 B 2.12

Calculated values
The formation energy (no corrections) comes out at 0.43 eV/atom.

No. 12
NdGa | meta-GGA SCAN | PBEsol geometry

a b c (Å): 4.1042 4.3892 6.0020
angles (deg): 68.55 90.00 90.00
Last column: nearest neighbours and their distance in Å.
Positions (direct):
Nd: 0.7500 0.8576 0.2849  7 Ga 3.11-3.23
Nd: 0.2500 0.1424 0.7151  7 Ga 3.11-3.23
Ga: 0.7500 0.5699 0.8601  2 Ga 2.58
Ga: 0.2500 0.4301 0.1399  2 Ga 2.58

Calculated values
As for the formation enthalpy at 0 K: -0.709 eV per atom.

no.,total magnetic moment (Bohr magnetons per cell)
1,0.000
2,0.005
3,0.000
4,4.970
5,0.000
6,2.863
7,0.000
8,0.000
9,6.229
10,0.000
11,0.000
12,0.506